First-principles (SCAN) data for a crystal of CsZn2Ag relaxed with PBEsol, as listed in Alexandria.

density: 5.9 g cm⁻³
ΔE_f: 489 meV per atom
symmetry: Fm-3m
DOS at the Fermi energy: 0.6 states/eV per cell

Geometry as POSCAR:
```
CsZn2Ag
1.0
0.0000 3.7428 3.7428
3.7428 0.0000 3.7428
3.7428 3.7428 0.0000
Cs Zn Ag
1 2 1
Cartesian
0.0000 0.0000 0.0000
1.8714 1.8714 1.8714
5.6142 5.6142 5.6142
3.7428 3.7428 3.7428
```

First-principles (SCAN) data for a crystal of CuAg2 relaxed with PBEsol, as listed in Alexandria.

density: 10.4 g cm⁻³
ΔE_f: 78 meV per atom
symmetry: C2/m
DOS at the Fermi energy: 1.7 states/eV per cell

Geometry as POSCAR:
```
CuAg2
1.0
4.6831 -1.3918 0.0000
4.6831 1.3918 0.0000
-3.0129 0.0000 6.8488
Cu Ag
2 4
Cartesian
1.4839 0.0000 0.5758
4.8695 0.0000 6.2730
-0.2480 0.0000 4.0344
2.2820 0.0000 5.3433
4.0713 0.0000 1.5055
6.6014 0.0000 2.8144
```

First-principles (SCAN) data for a crystal of Cu4Ag5 relaxed with PBEsol, as listed in Alexandria.

density: 10.2 g cm⁻³
ΔE_f: 113 meV per atom
symmetry: I4/mmm
DOS at the Fermi energy: 2.7 states/eV per cell

Geometry as POSCAR:
```
Cu4Ag5
1.0
-4.0837 4.0837 1.9360
4.0837 -4.0837 1.9360
4.0837 4.0837 -1.9360
Cu Ag
4 5
Cartesian
2.8434 0.0000 0.0000
5.3241 0.0000 0.0000
0.0000 2.8434 0.0000
0.0000 5.3241 0.0000
0.0000 0.0000 0.0000
2.6966 2.6966 0.0000
1.3872 -1.3872 1.9360
-1.3872 1.3872 1.9360
1.3872 1.3872 1.9360
```

First-principles (SCAN) data for a crystal of Cu4Ag3 relaxed with PBEsol, as listed in Alexandria.

density: 10.1 g cm⁻³
ΔE_f: 89 meV per atom
symmetry: I4/mmm
DOS at the Fermi energy: 1.9 states/eV per cell

Geometry as POSCAR:
```
Cu4Ag3
1.0
-1.4051 1.4051 12.0540
1.4051 -1.4051 12.0540
1.4051 1.4051 -12.0540
Cu Ag
4 3
Cartesian
0.0000 0.0000 1.7751
0.0000 0.0000 8.8475
0.0000 0.0000 15.2605
0.0000 0.0000 22.3330
0.0000 0.0000 4.9849
0.0000 0.0000 12.0540
0.0000 0.0000 19.1231
```

First-principles (SCAN) data for a crystal of CuAg2 relaxed with PBEsol, as listed in Alexandria.

density: 10.3 g cm⁻³
ΔE_f: 108 meV per atom
symmetry: P-62m
DOS at the Fermi energy: 2.7 states/eV per cell

Geometry as POSCAR:
```
CuAg2
1.0
7.5036 0.0000 0.0000
-3.7518 6.4983 0.0000
0.0000 0.0000 2.7579
Cu Ag
3 6
Cartesian
0.0000 0.0000 0.0000
0.0000 4.3322 1.3790
3.7518 2.1661 1.3790
-1.3793 2.3890 0.0000
-2.6311 4.5572 1.3790
1.1207 1.9411 1.3790
2.7586 0.0000 0.0000
2.3725 4.1092 0.0000
5.2622 0.0000 1.3790
```

First-principles (SCAN) data for a crystal of CuAg5 relaxed with PBEsol, as listed in Alexandria.

density: 10.5 g cm⁻³
ΔE_f: 67 meV per atom
symmetry: Cm
DOS at the Fermi energy: 1.6 states/eV per cell

Geometry as POSCAR:
```
CuAg5
1.0
5.2299 -1.4101 0.0000
5.2299 1.4101 0.0000
-1.8732 0.0000 6.4425
Cu Ag
1 5
Cartesian
0.0000 0.0000 0.0000
2.9080 0.0000 0.3875
2.2228 0.0000 4.3277
4.9853 0.0000 4.7714
6.3289 0.0000 2.0585
9.1831 0.0000 2.5478
```

First-principles (SCAN) data for a crystal of CuAg2 relaxed with PBEsol, as listed in Alexandria.

density: 10.4 g cm⁻³
ΔE_f: 86 meV per atom
symmetry: I4/mmm
DOS at the Fermi energy: 0.6 states/eV per cell

Geometry as POSCAR:
```
CuAg2
1.0
-1.3920 1.3920 5.7582
1.3920 -1.3920 5.7582
1.3920 1.3920 -5.7582
Cu Ag
1 2
Cartesian
0.0000 0.0000 0.0000
0.0000 0.0000 3.9390
0.0000 0.0000 7.5774
```

First-principles (SCAN) data for a crystal of CuAg2 relaxed with PBEsol, as listed in Alexandria.

density: 10.4 g cm⁻³
ΔE_f: 105 meV per atom
symmetry: Pnma
DOS at the Fermi energy: 2.8 states/eV per cell

Geometry as POSCAR:
```
CuAg2
1.0
5.5670 0.0000 0.0000
0.0000 3.8605 0.0000
0.0000 0.0000 8.3341
Cu Ag
4 8
Cartesian
0.6928 0.9651 0.6714
2.0907 2.8954 4.8384
3.4763 0.9651 3.4957
4.8742 2.8954 7.6627
0.6234 0.9651 6.3045
0.7577 0.9651 3.5048
2.0258 2.8954 7.6719
2.1601 2.8954 2.1374
3.4069 0.9651 6.1966
3.5412 0.9651 0.6622
4.8093 2.8954 4.8293
4.9436 2.8954 2.0296
```

First-principles (SCAN) data for a crystal of CuAg5 relaxed with PBEsol, as listed in Alexandria.

density: 10.5 g cm⁻³
ΔE_f: 71 meV per atom
symmetry: Amm2
DOS at the Fermi energy: 1.6 states/eV per cell

Geometry as POSCAR:
```
CuAg5
1.0
4.6285 0.0000 0.0000
0.0000 1.4097 7.2836
0.0000 -1.4097 7.2836
Cu Ag
1 5
Cartesian
0.0000 0.0000 0.0000
0.0000 0.0000 4.9347
0.0000 0.0000 9.6397
2.3143 0.0000 1.5867
2.3143 0.0000 6.5081
2.3143 0.0000 11.3234
```

First-principles (SCAN) data for a crystal of CuAg8 relaxed with PBEsol, as listed in Alexandria.

density: 10.6 g cm⁻³
ΔE_f: 44 meV per atom
symmetry: I4/mmm
DOS at the Fermi energy: 2.1 states/eV per cell

Geometry as POSCAR:
```
CuAg8
1.0
-4.2552 4.2552 1.9947
4.2552 -4.2552 1.9947
4.2552 4.2552 -1.9947
Cu Ag
1 8
Cartesian
0.0000 0.0000 0.0000
2.8083 0.0000 0.0000
5.7020 0.0000 0.0000
0.0000 2.8083 0.0000
2.8672 2.8672 0.0000
1.3880 -1.3880 1.9947
-1.3880 1.3880 1.9947
1.3880 1.3880 1.9947
0.0000 5.7020 0.0000
```

First-principles (SCAN) data for a crystal of Cu3Ag4 relaxed with PBEsol, as listed in Alexandria.

density: 10.3 g cm⁻³
ΔE_f: 84 meV per atom
symmetry: I4/mmm
DOS at the Fermi energy: 1.8 states/eV per cell

Geometry as POSCAR:
```
Cu3Ag4
1.0
-1.3890 1.3890 13.0257
1.3890 -1.3890 13.0257
1.3890 1.3890 -13.0257
Cu Ag
3 4
Cartesian
0.0000 0.0000 0.0000
0.0000 0.0000 7.2575
0.0000 0.0000 18.7938
0.0000 0.0000 3.9460
0.0000 0.0000 11.2009
0.0000 0.0000 14.8505
0.0000 0.0000 22.1053
```

First-principles (SCAN) data for a crystal of CuAg relaxed with PBEsol, as listed in Alexandria.

density: 10.2 g cm⁻³
ΔE_f: 83 meV per atom
symmetry: P4/nmm
DOS at the Fermi energy: 1.3 states/eV per cell

Geometry as POSCAR:
```
CuAg
1.0
2.8519 0.0000 0.0000
0.0000 2.8519 0.0000
0.0000 0.0000 6.8774
Cu Ag
2 2
Cartesian
0.7130 0.7130 0.6883
2.1389 2.1389 6.1891
0.7130 0.7130 4.4586
2.1389 2.1389 2.4188
```